1.
A relaxed Ca2SmErSe4 crystal. Source: the Alexandria database, functional PBE.

Results
DFT total energy = -5.2746 eV/atom
energy relative to the elements, uncorrected = -1.87 eV/atom

a b c (Å): 7.143 4.120 7.262
angles (deg): 90.00 109.11 90.00
Space group P2/m (No. 10)
Inequivalent atoms, fractional coordinates:
Ca: 0.000 0.000 0.000 x1
Ca: 0.500 0.500 0.000 x1
Sm: 0.000 0.500 0.500 x1
Er: 0.500 0.000 0.500 x1
Se: 0.256 0.000 0.750 x2
Se: 0.257 0.500 0.255 x2

***

2.
A relaxed Sm6Ni2SI3 crystal. Source: the Alexandria database, functional PBE.

Results
DFT total energy = -4.9867 eV/atom
energy relative to the elements, uncorrected = -0.93 eV/atom

a b c (Å): 7.206 12.446 8.091
angles (deg): 90.00 107.18 90.00
Space group C2/m (No. 12)
Inequivalent atoms, fractional coordinates:
Sm: 0.211 0.000 0.183 x4
Sm: 0.237 0.325 0.183 x8
Ni: 0.000 0.167 0.000 x4
S: 0.000 0.500 0.000 x2
I: 0.000 0.000 0.500 x2
I: 0.000 0.337 0.500 x4

***

3.
A relaxed Tl2AgF crystal. Source: the Alexandria database, functional PBE.

Results
DFT total energy = -2.9570 eV/atom
energy relative to the elements, uncorrected = -0.59 eV/atom
E above lowest polymorph = 0.003 eV/atom

a b c (Å): 7.106 7.106 7.106
angles (deg): 90.00 90.00 90.00
Space group Fm-3m (No. 225)
Inequivalent atoms, fractional coordinates:
Tl: 0.250 0.250 0.250 x8
Ag: 0.000 0.000 0.000 x4
F: 0.000 0.000 0.500 x4

***

4.
A relaxed LiSb2W crystal. Source: the Alexandria database, functional PBE.

Results
DFT total energy = -5.2669 eV/atom
energy relative to the elements, uncorrected = 0.51 eV/atom
E above lowest polymorph = 0.426 eV/atom

a b c (Å): 3.0822 3.0822 32.5808
angles (deg): 90.00 90.00 120.00
Space group R3m (No. 160, hexagonal axes)
Inequivalent atoms, fractional coordinates:
Li: 0.0000 0.0000 0.0000 x3
Sb: 0.0000 0.0000 0.5246 x3
Sb: 0.0000 0.0000 0.7401 x3
W: 0.0000 0.0000 0.2604 x3

***

5.
A relaxed CeSm2N3 crystal. Source: the Alexandria database, functional PBE.

Results
DFT total energy = -8.2326 eV/atom
energy relative to the elements, uncorrected = -1.51 eV/atom
E above lowest polymorph = 0.002 eV/atom

a b c (Å): 3.5814 3.5814 8.7458
angles (deg): 90.00 90.00 120.00
Space group P-3m1 (No. 164)
Inequivalent atoms, fractional coordinates:
Ce: 0.0000 0.0000 0.0000 x1
Sm: 0.3333 0.6667 0.6634 x2
N: 0.0000 0.0000 0.5000 x1
N: 0.3333 0.6667 0.1567 x2

***

6.
A relaxed AcCu2Cl6 crystal. Source: the Alexandria database, functional PBE.

Results
DFT total energy = -3.9179 eV/atom
energy relative to the elements, uncorrected = -1.32 eV/atom
E above lowest polymorph = 0.000 eV/atom

a b c (Å): 13.800 10.495 7.119
angles (deg): 90.00 111.77 90.00
Space group C2/c (No. 15)
Inequivalent atoms, fractional coordinates:
Ac: 0.000 0.173 0.250 x4
Cu: 0.195 0.439 0.212 x8
Cl: 0.101 0.286 0.003 x8
Cl: 0.122 0.047 0.649 x8
Cl: 0.158 0.385 0.494 x8